w) First-principles (PBE) data for Na3PbCl6 after structural relaxation, as listed in Alexandria via LeMat-Bulk.

D(E_F): 6.39 states/eV/f.u.

a b c (Å): 7.0324 7.4007 10.4014
angles (deg): 90.00 88.30 90.00
With the nearest neighbours (Å) after each atom.
Fractional positions:
Cl 0.6746 0.1808 0.9472  2 Na 2.71-2.80, 1 Pb 2.72
Cl 0.3217 0.8021 0.4046  1 Pb 2.76, 3 Na 2.85-3.06
Cl 0.8254 0.6808 0.5528  2 Na 2.71-2.80, 1 Pb 2.72
Cl 0.1783 0.3021 0.0954  1 Pb 2.76, 3 Na 2.85-3.06
Cl 0.1456 0.0843 0.7594  1 Pb 2.75, 3 Na 2.84-2.98
Cl 0.6783 0.1979 0.5954  1 Pb 2.76, 3 Na 2.85-3.06
Cl 0.3254 0.8192 0.0528  2 Na 2.71-2.80, 1 Pb 2.72
Cl 0.8544 0.9157 0.2406  1 Pb 2.75, 3 Na 2.84-2.98
Cl 0.8217 0.6979 0.9046  1 Pb 2.76, 3 Na 2.85-3.06
Cl 0.3544 0.5843 0.7406  1 Pb 2.75, 3 Na 2.84-2.98
Cl 0.6456 0.4157 0.2594  1 Pb 2.75, 3 Na 2.84-2.98
Cl 0.1746 0.3192 0.4472  2 Na 2.71-2.80, 1 Pb 2.72
Na 0.0187 0.5694 0.2786  5 Cl 2.80-3.06
Na 0.0000 0.0000 0.5000  6 Cl 2.71-2.98
Na 0.5187 0.9306 0.7786  5 Cl 2.80-3.06
Na 0.4813 0.0694 0.2214  5 Cl 2.80-3.06
Na 0.5000 0.5000 0.0000  6 Cl 2.71-2.98
Na 0.9813 0.4306 0.7214  5 Cl 2.80-3.06
Pb 0.0000 0.0000 0.0000  6 Cl 2.72-2.76
Pb 0.5000 0.5000 0.5000  6 Cl 2.72-2.76

---

x) First-principles (PBE) data for Na3PbCl6 after structural relaxation, as listed in Alexandria via LeMat-Bulk.

D(E_F): 0.92 states/eV/f.u.

a b c (Å): 8.3586 8.3586 8.3586
angles (deg): 93.23 93.23 93.23
With the nearest neighbours (Å) after each atom.
Fractional positions:
Cl 0.1980 0.5273 0.4310  1 Pb 2.58
Cl 0.5690 0.8020 0.4727  1 Pb 2.58
Cl 0.4727 0.5690 0.8020  1 Pb 2.58
Cl 0.9127 0.6803 0.1028  3 Na 2.73-2.80, 1 Pb 2.92
Cl 0.6803 0.1028 0.9127  3 Na 2.73-2.80, 1 Pb 2.92
Cl 0.8972 0.0873 0.3197  3 Na 2.73-2.80, 1 Pb 2.92
Cl 0.1028 0.9127 0.6803  3 Na 2.73-2.80, 1 Pb 2.92
Cl 0.0873 0.3197 0.8972  3 Na 2.73-2.80, 1 Pb 2.92
Cl 0.4310 0.1980 0.5273  1 Pb 2.58
Cl 0.3197 0.8972 0.0873  3 Na 2.73-2.80, 1 Pb 2.92
Cl 0.5273 0.4310 0.1980  1 Pb 2.58
Cl 0.8020 0.4727 0.5690  1 Pb 2.58
Na 0.5742 0.0857 0.2234  5 Cl 2.73-2.99
Na 0.0857 0.2234 0.5742  5 Cl 2.73-2.99
Na 0.4258 0.9143 0.7766  5 Cl 2.73-2.99
Na 0.9143 0.7766 0.4258  5 Cl 2.73-2.99
Na 0.7766 0.4258 0.9143  5 Cl 2.73-2.99
Na 0.2234 0.5742 0.0857  5 Cl 2.73-2.99
Pb 0.5000 0.5000 0.5000  6 Cl 2.58
Pb 0.0000 0.0000 0.0000  6 Cl 2.92

---

Most stable to least stable, the ends of the list are x) and w).

---

w) First-principles (PBE) data for NaPb3Cl after structural relaxation, as listed in Alexandria via LeMat-Bulk.

D(E_F): 3.40 states/eV/f.u.

a b c (Å): 5.6168 5.6168 5.6168
angles (deg): 90.00 90.00 90.00
With the nearest neighbours (Å) after each atom.
Fractional positions:
Pb 0.5000 0.0000 0.0000  2 Na 2.81
Pb 0.0000 0.5000 0.0000  2 Na 2.81
Pb 0.0000 0.0000 0.5000  2 Na 2.81
Na 0.0000 0.0000 0.0000  6 Pb 2.81
Cl 0.5000 0.5000 0.5000  12 Pb 3.97

---

x) First-principles (PBE) data for NaPb3Cl after structural relaxation, as listed in Alexandria via LeMat-Bulk.

D(E_F): 2.27 states/eV/f.u.

a b c (Å): 5.6554 5.6554 5.6554
angles (deg): 90.00 90.00 90.00
With the nearest neighbours (Å) after each atom.
Fractional positions:
Na 0.5000 0.5000 0.5000  12 Pb 4.00
Cl 0.0000 0.0000 0.0000  6 Pb 2.83
Pb 0.0000 0.0000 0.5000  2 Cl 2.83
Pb 0.5000 0.0000 0.0000  2 Cl 2.83
Pb 0.0000 0.5000 0.0000  2 Cl 2.83

---

Most stable to least stable, the ends of the list are x) and w).